1.
## Y2NiHg (GGA-PBE)

Data for a geometry-optimized Y2NiHg structure.

a b c (Å): 7.6863 7.6863 6.9092
angles (deg): 90.00 90.00 90.00
Space group I-42d (No. 122)
Unique sites:
Y (0.2032, 0.2500, 0.1250) [8 per cell]
Ni (0.0000, 0.0000, 0.0000) [4 per cell]
Hg (0.0000, 0.0000, 0.5000) [4 per cell]

Computed properties:
Density of states at the Fermi level   0.502 states/eV/atom
Crystal system   tetragonal
E_form   -0.08 eV/atom
Uncorrected energy   -4.83 eV/atom

2.
## Y5Ni2Hg2 (GGA-PBE)

Data for a geometry-optimized Y5Ni2Hg2 structure.

a b c (Å): 16.0937 7.4434 7.4185
angles (deg): 90.00 90.00 90.00
Space group Cmce (No. 64)
Unique sites:
Y (0.0000, 0.0000, 0.0000) [4 per cell]
Y (0.1228, 0.1772, 0.3273) [16 per cell]
Ni (0.0000, 0.1184, 0.6190) [8 per cell]
Hg (0.2181, 0.0000, 0.0000) [8 per cell]

Computed properties:
Density of states at the Fermi level   0.957 states/eV/atom
Crystal system   orthorhombic
E_form   -0.38 eV/atom
Uncorrected energy   -5.33 eV/atom

3.
## Y7Ni2Hg2 (GGA-PBE)

Data for a geometry-optimized Y7Ni2Hg2 structure.

a b c (Å): 7.8354 11.0919 6.9977
angles (deg): 90.00 90.00 90.00
Space group Cmmm (No. 65)
Unique sites:
Y (0.0000, 0.0000, 0.0000) [2 per cell]
Y (0.0000, 0.5000, 0.2395) [4 per cell]
Y (0.2500, 0.2500, 0.2477) [8 per cell]
Ni (0.0000, 0.2962, 0.0000) [4 per cell]
Hg (0.1827, 0.0000, 0.5000) [4 per cell]

Computed properties:
Density of states at the Fermi level   1.009 states/eV/atom
Crystal system   orthorhombic
E_form   -0.22 eV/atom
Uncorrected energy   -5.44 eV/atom

4.
## Y3NiHg (GGA-PBE)

Data for a geometry-optimized Y3NiHg structure.

a b c (Å): 10.0434 6.5763 8.7082
angles (deg): 90.00 116.45 90.00
Space group C2/m (No. 12)
Unique sites:
Y (0.0309, 0.0000, 0.2245) [4 per cell]
Y (0.1816, 0.5000, 0.8794) [4 per cell]
Y (0.2049, 0.5000, 0.3105) [4 per cell]
Ni (0.0000, 0.3054, 0.0000) [4 per cell]
Hg (0.0000, 0.2787, 0.5000) [4 per cell]

Computed properties:
Energy above the lowest structure with this stoichiometry   0 meV per atom
Density of states at the Fermi level   1.246 states/eV/atom
Crystal system   monoclinic
E_form   -0.33 eV/atom
Uncorrected energy   -5.43 eV/atom

5.
## Y4NiHg (GGA-PBE)

Data for a geometry-optimized Y4NiHg structure.

a b c (Å): 7.0427 7.1218 6.9655
angles (deg): 90.00 94.89 90.00
Space group P2_1/c (No. 14)
Unique sites:
Y (0.1454, 0.1651, 0.1851) [4 per cell]
Y (0.3209, 0.6466, 0.1153) [4 per cell]
Ni (0.0000, 0.0000, 0.5000) [2 per cell]
Hg (0.5000, 0.0000, 0.0000) [2 per cell]

Computed properties:
Energy above the lowest structure with this stoichiometry   103 meV per atom
Density of states at the Fermi level   1.368 states/eV/atom
Crystal system   monoclinic
E_form   -0.18 eV/atom
Uncorrected energy   -5.51 eV/atom

6.
## Y2NiHg (GGA-PBE)

Data for a geometry-optimized Y2NiHg structure.

a b c (Å): 6.9464 6.9464 6.9464
angles (deg): 90.00 90.00 90.00
Space group F-43m (No. 216)
Unique sites:
Y (0.0000, 0.0000, 0.0000) [4 per cell]
Y (0.2500, 0.2500, 0.2500) [4 per cell]
Ni (0.0000, 0.0000, 0.5000) [4 per cell]
Hg (0.2500, 0.2500, 0.7500) [4 per cell]

Computed properties:
Density of states at the Fermi level   0.106 states/eV/atom
Crystal system   cubic
E_form   -0.11 eV/atom
Uncorrected energy   -4.87 eV/atom